# TlCuBr2 GGA-PBE relaxed
data_TlCuBr2
_chemical_formula_sum 'Tl1 Cu1 Br2'
_cell_length_a 4.283
_cell_length_b 3.753
_cell_length_c 7.456
_cell_angle_alpha 90.00
_cell_angle_beta 94.99
_cell_angle_gamma 90.00
_symmetry_space_group_name_H-M 'P 1 2/m 1'
_symmetry_Int_Tables_number 10
loop_
_symmetry_equiv_pos_as_xyz
'x,y,z'
'-x,-y,-z'
'-x,y,-z'
'x,-y,z'
loop_
_atom_site_label
_atom_site_fract_x
_atom_site_fract_y
_atom_site_fract_z
Tl1 0.000 0.000 0.000
Cu1 0.500 0.000 0.500
Br1 0.454 0.500 0.728
# Total DFT energy (no corrections) ... -11.59 eV per cell
# Polymorph energy (0 for the lowest one) ... 97 meV/atom
# Formation energy from raw total energies ... -444 meV per atom

=====

# Dy6In2Te GGA-PBE relaxed
data_Dy6In2Te
_chemical_formula_sum 'Dy6 In2 Te1'
_cell_length_a 8.7396
_cell_length_b 8.7396
_cell_length_c 3.9075
_cell_angle_alpha 90.00
_cell_angle_beta 90.00
_cell_angle_gamma 120.00
_symmetry_space_group_name_H-M 'P -6 2 m'
_symmetry_Int_Tables_number 189
_symmetry_space_group_name_Hall 'P -6 -2'
loop_
_atom_site_label
_atom_site_fract_x
_atom_site_fract_y
_atom_site_fract_z
Dy1 0.0000 0.2766 0.0000
Dy2 0.0000 0.6112 0.5000
In1 0.3333 0.6667 0.0000
Te1 0.0000 0.0000 0.5000
# Total DFT energy (no corrections) ... -40.66 eV per cell
# Formation energy from raw total energies ... -493 meV per atom

=====

# Ba2HgAu GGA-PBE relaxed
data_Ba2HgAu
_chemical_formula_sum 'Ba2 Hg1 Au1'
_cell_length_a 4.098
_cell_length_b 4.098
_cell_length_c 8.309
_cell_angle_alpha 90.00
_cell_angle_beta 90.00
_cell_angle_gamma 90.00
_symmetry_space_group_name_H-M 'P 4/m m m'
_symmetry_Int_Tables_number 123
_symmetry_space_group_name_Hall '-P 4 2'
loop_
_atom_site_label
_atom_site_fract_x
_atom_site_fract_y
_atom_site_fract_z
Ba1 0.000 0.000 0.237
Hg1 0.500 0.500 0.500
Au1 0.500 0.500 0.000
# Total DFT energy (no corrections) ... -9.80 eV per cell
# Formation energy ... -0.595 eV/atom

=====

# La6TlIr GGA-PBE relaxed
data_La6TlIr
_chemical_formula_sum 'La12 Tl2 Ir2'
_cell_length_a 8.408
_cell_length_b 10.381
_cell_length_c 6.656
_cell_angle_alpha 90.00
_cell_angle_beta 106.16
_cell_angle_gamma 90.00
_symmetry_space_group_name_H-M 'C 1 2/m 1'
_symmetry_Int_Tables_number 12
loop_
_symmetry_equiv_pos_as_xyz
'x,y,z'
'-x,-y,-z'
'-x,y,-z'
'x,-y,z'
'x+1/2,y+1/2,z'
'-x+1/2,-y+1/2,-z'
'-x+1/2,y+1/2,-z'
'x+1/2,-y+1/2,z'
loop_
_atom_site_label
_atom_site_fract_x
_atom_site_fract_y
_atom_site_fract_z
La1 0.107 0.198 0.294
La2 0.206 0.500 0.110
Tl1 0.000 0.500 0.500
Ir1 0.000 0.000 0.000
# Total DFT energy (no corrections) ... -85.38 eV per cell
# Formation energy ... -0.237 eV/atom

=====

# NbSnMo2Se GGA-PBE relaxed
data_NbSnMo2Se
_chemical_formula_sum 'Nb1 Sn1 Mo2 Se1'
_cell_length_a 4.559
_cell_length_b 4.559
_cell_length_c 5.258
_cell_angle_alpha 90.00
_cell_angle_beta 90.00
_cell_angle_gamma 90.00
_symmetry_space_group_name_H-M 'P 4/m m m'
_symmetry_Int_Tables_number 123
_symmetry_space_group_name_Hall '-P 4 2'
loop_
_atom_site_label
_atom_site_fract_x
_atom_site_fract_y
_atom_site_fract_z
Nb1 0.000 0.000 0.000
Sn1 0.500 0.500 0.000
Mo1 0.000 0.500 0.500
Se1 0.500 0.500 0.500
# Total DFT energy (no corrections) ... -32.82 eV per cell
# Formation energy from raw total energies ... 1280 meV per atom

=====

# TbPm2TcN4 GGA-PBE relaxed
data_TbPm2TcN4
_chemical_formula_sum 'Tb4 Pm8 Tc4 N16'
_cell_length_a 3.470
_cell_length_b 11.883
_cell_length_c 11.966
_cell_angle_alpha 90.00
_cell_angle_beta 90.00
_cell_angle_gamma 90.00
_symmetry_space_group_name_H-M 'C m c m'
_symmetry_Int_Tables_number 63
_symmetry_space_group_name_Hall '-C 2c 2'
loop_
_atom_site_label
_atom_site_fract_x
_atom_site_fract_y
_atom_site_fract_z
Tb1 0.000 0.132 0.250
Pm1 0.000 0.368 0.040
Tc1 0.000 0.139 0.750
N1 0.000 0.000 0.000
N2 0.000 0.268 0.637
N3 0.000 0.440 0.250
# Total DFT energy (no corrections) ... -261.34 eV per cell
# Formation energy from raw total energies ... -942 meV per atom

=====

# Si2Pt GGA-PBE relaxed
data_Si2Pt
_chemical_formula_sum 'Si8 Pt4'
_cell_length_a 5.905
_cell_length_b 5.905
_cell_length_c 5.905
_cell_angle_alpha 90.00
_cell_angle_beta 90.00
_cell_angle_gamma 90.00
_symmetry_space_group_name_H-M 'P a -3'
_symmetry_Int_Tables_number 205
_symmetry_space_group_name_Hall '-P 2ac 2ab 3'
loop_
_atom_site_label
_atom_site_fract_x
_atom_site_fract_y
_atom_site_fract_z
Si1 0.117 0.117 0.117
Pt1 0.000 0.000 0.500
# Total DFT energy (no corrections) ... -71.08 eV per cell
# Formation energy from raw total energies ... -294 meV per atom

=====

# BaSbRh GGA-PBE relaxed
data_BaSbRh
_chemical_formula_sum 'Ba8 Sb8 Rh8'
_cell_length_a 22.686
_cell_length_b 4.340
_cell_length_c 8.475
_cell_angle_alpha 90.00
_cell_angle_beta 94.98
_cell_angle_gamma 90.00
_symmetry_space_group_name_H-M 'C 1 2/m 1'
_symmetry_Int_Tables_number 12
loop_
_symmetry_equiv_pos_as_xyz
'x,y,z'
'-x,-y,-z'
'-x,y,-z'
'x,-y,z'
'x+1/2,y+1/2,z'
'-x+1/2,-y+1/2,-z'
'-x+1/2,y+1/2,-z'
'x+1/2,-y+1/2,z'
loop_
_atom_site_label
_atom_site_fract_x
_atom_site_fract_y
_atom_site_fract_z
Ba1 0.063 0.000 0.321
Ba2 0.115 0.500 0.847
Sb1 0.180 0.000 0.601
Sb2 0.187 0.000 0.118
Rh1 0.246 0.500 0.619
Rh2 0.247 0.000 0.870
# Total DFT energy (no corrections) ... -119.25 eV per cell
# Formation energy from raw total energies ... -503 meV per atom

=====

# NaAgHg GGA-PBE relaxed
data_NaAgHg
_chemical_formula_sum 'Na2 Ag2 Hg2'
_cell_length_a 3.165
_cell_length_b 4.602
_cell_length_c 9.404
_cell_angle_alpha 90.02
_cell_angle_beta 98.22
_cell_angle_gamma 90.00
_symmetry_space_group_name_H-M 'P -1'
_symmetry_Int_Tables_number 2
loop_
_symmetry_equiv_pos_as_xyz
'x,y,z'
'-x,-y,-z'
loop_
_atom_site_label
_atom_site_fract_x
_atom_site_fract_y
_atom_site_fract_z
Na1 0.112 0.251 0.253
Ag1 0.289 0.250 0.565
Hg1 0.448 0.250 0.895
# Total DFT energy (no corrections) ... -9.54 eV per cell
# Polymorph energy (0 for the lowest one) ... 0 meV/atom
# Formation energy ... -0.099 eV/atom

=====

# SiNi7 GGA-PBE relaxed
data_SiNi7
_chemical_formula_sum 'Si4 Ni28'
_cell_length_a 7.023
_cell_length_b 7.023
_cell_length_c 7.023
_cell_angle_alpha 90.00
_cell_angle_beta 90.00
_cell_angle_gamma 90.00
_symmetry_space_group_name_H-M 'F m -3 m'
_symmetry_Int_Tables_number 225
_symmetry_space_group_name_Hall '-F 4 2 3'
loop_
_atom_site_label
_atom_site_fract_x
_atom_site_fract_y
_atom_site_fract_z
Si1 0.000 0.000 0.000
Ni1 0.000 0.000 0.500
Ni2 0.000 0.250 0.250
# Total DFT energy (no corrections) ... -190.16 eV per cell
# Formation energy from raw total energies ... -206 meV per atom

=====

# TlW2Au GGA-PBE relaxed
data_TlW2Au
_chemical_formula_sum 'Tl1 W2 Au1'
_cell_length_a 3.499
_cell_length_b 4.379
_cell_length_c 4.704
_cell_angle_alpha 90.00
_cell_angle_beta 90.00
_cell_angle_gamma 90.00
_symmetry_space_group_name_H-M 'P m m m'
_symmetry_Int_Tables_number 47
loop_
_symmetry_equiv_pos_as_xyz
'x,y,z'
'-x,-y,-z'
'-x,-y,z'
'x,y,-z'
'x,-y,-z'
'-x,y,z'
'-x,y,-z'
'x,-y,z'
loop_
_atom_site_label
_atom_site_fract_x
_atom_site_fract_y
_atom_site_fract_z
Tl1 0.000 0.000 0.000
W1 0.000 0.500 0.500
W2 0.500 0.000 0.500
Au1 0.500 0.500 0.000
# Total DFT energy (no corrections) ... -28.34 eV per cell
# Polymorph energy (0 for the lowest one) ... 294 meV/atom
# Formation energy ... 0.802 eV/atom

=====

# NaPr12Ni6 GGA-PBE relaxed
data_NaPr12Ni6
_chemical_formula_sum 'Na2 Pr24 Ni12'
_cell_length_a 10.261
_cell_length_b 10.261
_cell_length_c 10.261
_cell_angle_alpha 90.00
_cell_angle_beta 90.00
_cell_angle_gamma 90.00
_symmetry_space_group_name_H-M 'I m -3'
_symmetry_Int_Tables_number 204
_symmetry_space_group_name_Hall '-I 2 2 3'
loop_
_atom_site_label
_atom_site_fract_x
_atom_site_fract_y
_atom_site_fract_z
Na1 0.000 0.000 0.000
Pr1 0.000 0.188 0.313
Ni1 0.000 0.381 0.500
# Total DFT energy (no corrections) ... -193.00 eV per cell
# Formation energy ... -0.165 eV/atom

=====

# Zr2FeRh4 GGA-PBE relaxed
data_Zr2FeRh4
_chemical_formula_sum 'Zr4 Fe2 Rh8'
_cell_length_a 4.501
_cell_length_b 4.501
_cell_length_c 13.084
_cell_angle_alpha 90.00
_cell_angle_beta 90.00
_cell_angle_gamma 90.00
_symmetry_space_group_name_H-M 'I 4/m m m'
_symmetry_Int_Tables_number 139
_symmetry_space_group_name_Hall '-I 4 2'
loop_
_atom_site_label
_atom_site_fract_x
_atom_site_fract_y
_atom_site_fract_z
Zr1 0.000 0.000 0.132
Fe1 0.000 0.000 0.500
Rh1 0.000 0.000 0.315
Rh2 0.000 0.500 0.000
# Total DFT energy (no corrections) ... -107.63 eV per cell
# Formation energy ... 0.164 eV/atom

=====

# CaTb3Hg5 GGA-PBE relaxed
data_CaTb3Hg5
_chemical_formula_sum 'Ca2 Tb6 Hg10'
_cell_length_a 9.1341
_cell_length_b 9.1341
_cell_length_c 6.4844
_cell_angle_alpha 90.00
_cell_angle_beta 90.00
_cell_angle_gamma 120.00
_symmetry_space_group_name_H-M 'P 63/m c m'
_symmetry_Int_Tables_number 193
_symmetry_space_group_name_Hall '-P 6c 2'
loop_
_atom_site_label
_atom_site_fract_x
_atom_site_fract_y
_atom_site_fract_z
Ca1 0.0000 0.0000 0.0000
Tb1 0.0000 0.3650 0.2500
Hg1 0.0000 0.3033 0.7500
Hg2 0.3333 0.6667 0.0000
# Total DFT energy (no corrections) ... -42.20 eV per cell
# Formation energy ... -0.411 eV/atom

=====

# Th2Cd16Sn GGA-PBE relaxed
data_Th2Cd16Sn
_chemical_formula_sum 'Th6 Cd48 Sn3'
_cell_length_a 10.2691
_cell_length_b 10.2691
_cell_length_c 14.6489
_cell_angle_alpha 90.00
_cell_angle_beta 90.00
_cell_angle_gamma 120.00
_symmetry_space_group_name_H-M 'R 3 m'
_symmetry_Int_Tables_number 160
_symmetry_space_group_name_Hall 'R 3 -2"'
loop_
_atom_site_label
_atom_site_fract_x
_atom_site_fract_y
_atom_site_fract_z
Th1 0.0000 0.0000 0.0000
Th2 0.0000 0.0000 0.3321
Cd1 0.0000 0.0000 0.7584
Cd2 0.0242 0.3539 0.3296
Cd3 0.1701 0.3401 0.1461
Cd4 0.1828 0.3657 0.5018
Cd5 0.1880 0.3761 0.8402
Sn1 0.0000 0.0000 0.5573
# Total DFT energy (no corrections) ... -104.23 eV per cell
# Formation energy ... -0.066 eV/atom

=====

# BaLiThTe3 GGA-PBE relaxed
data_BaLiThTe3
_chemical_formula_sum 'Ba2 Li2 Th2 Te6'
_cell_length_a 9.649
_cell_length_b 4.513
_cell_length_c 10.023
_cell_angle_alpha 90.00
_cell_angle_beta 106.34
_cell_angle_gamma 90.00
_symmetry_space_group_name_H-M 'P 1 21/m 1'
_symmetry_Int_Tables_number 11
loop_
_symmetry_equiv_pos_as_xyz
'x,y,z'
'-x,-y,-z'
'-x,y+1/2,-z'
'x,-y+1/2,z'
loop_
_atom_site_label
_atom_site_fract_x
_atom_site_fract_y
_atom_site_fract_z
Ba1 0.187 0.250 0.246
Li1 0.084 0.250 0.594
Th1 0.345 0.750 0.859
Te1 0.113 0.250 0.876
Te2 0.215 0.750 0.529
Te3 0.444 0.750 0.192
# Total DFT energy (no corrections) ... -57.07 eV per cell
# Formation energy from raw total energies ... -1309 meV per atom

=====

# Nd2HoCdHg4 GGA-PBE relaxed
data_Nd2HoCdHg4
_chemical_formula_sum 'Nd6 Ho3 Cd3 Hg12'
_cell_length_a 5.2273
_cell_length_b 5.2273
_cell_length_c 26.4612
_cell_angle_alpha 90.00
_cell_angle_beta 90.00
_cell_angle_gamma 120.00
_symmetry_space_group_name_H-M 'R -3 m'
_symmetry_Int_Tables_number 166
_symmetry_space_group_name_Hall '-R 3 2"'
loop_
_atom_site_label
_atom_site_fract_x
_atom_site_fract_y
_atom_site_fract_z
Nd1 0.0000 0.0000 0.2419
Ho1 0.0000 0.0000 0.0000
Cd1 0.0000 0.0000 0.5000
Hg1 0.0000 0.0000 0.1213
Hg2 0.0000 0.0000 0.3674
# Total DFT energy (no corrections) ... -59.50 eV per cell
# Formation energy ... -0.450 eV/atom

=====

# ZnBi2MoPt GGA-PBE relaxed
data_ZnBi2MoPt
_chemical_formula_sum 'Zn1 Bi2 Mo1 Pt1'
_cell_length_a 5.416
_cell_length_b 5.416
_cell_length_c 5.138
_cell_angle_alpha 90.00
_cell_angle_beta 90.00
_cell_angle_gamma 90.00
_symmetry_space_group_name_H-M 'P 4/m m m'
_symmetry_Int_Tables_number 123
_symmetry_space_group_name_Hall '-P 4 2'
loop_
_atom_site_label
_atom_site_fract_x
_atom_site_fract_y
_atom_site_fract_z
Zn1 0.000 0.000 0.000
Bi1 0.000 0.500 0.500
Mo1 0.500 0.500 0.000
Pt1 0.500 0.500 0.500
# Total DFT energy (no corrections) ... -20.85 eV per cell
# Formation energy ... 1.013 eV/atom

=====

# Ge4Se7Br GGA-PBE relaxed
data_Ge4Se7Br
_chemical_formula_sum 'Ge8 Se14 Br2'
_cell_length_a 17.372
_cell_length_b 6.862
_cell_length_c 6.262
_cell_angle_alpha 90.00
_cell_angle_beta 90.00
_cell_angle_gamma 90.00
_symmetry_space_group_name_H-M 'P m n 21'
_symmetry_Int_Tables_number 31
loop_
_symmetry_equiv_pos_as_xyz
'x,y,z'
'-x+1/2,-y,z+1/2'
'-x,y,z'
'x+1/2,-y,z+1/2'
loop_
_atom_site_label
_atom_site_fract_x
_atom_site_fract_y
_atom_site_fract_z
Ge1 0.098 0.069 0.000
Ge2 0.237 0.336 0.432
Se1 0.000 0.229 0.776
Se2 0.111 0.204 0.371
Se3 0.170 0.858 0.745
Se4 0.246 0.324 0.825
Br1 0.000 0.814 0.152
# Total DFT energy (no corrections) ... -93.15 eV per cell
# Formation energy from raw total energies ... -170 meV per atom

=====

# RbCr3Sb GGA-PBE relaxed
data_RbCr3Sb
_chemical_formula_sum 'Rb1 Cr3 Sb1'
_cell_length_a 5.486
_cell_length_b 5.486
_cell_length_c 5.486
_cell_angle_alpha 90.00
_cell_angle_beta 90.00
_cell_angle_gamma 90.00
_symmetry_space_group_name_H-M 'P m -3 m'
_symmetry_Int_Tables_number 221
_symmetry_space_group_name_Hall '-P 4 2 3'
loop_
_atom_site_label
_atom_site_fract_x
_atom_site_fract_y
_atom_site_fract_z
Rb1 0.000 0.000 0.000
Cr1 0.000 0.000 0.500
Sb1 0.500 0.500 0.500
# Total DFT energy (no corrections) ... -22.68 eV per cell
# Polymorph energy (0 for the lowest one) ... 1235 meV/atom
# Formation energy from raw total energies ... 2257 meV per atom

=====

# Er2Ti2AlRh5 GGA-PBE relaxed
data_Er2Ti2AlRh5
_chemical_formula_sum 'Er4 Ti4 Al2 Rh10'
_cell_length_a 10.429
_cell_length_b 10.429
_cell_length_c 3.134
_cell_angle_alpha 90.00
_cell_angle_beta 90.00
_cell_angle_gamma 90.00
_symmetry_space_group_name_H-M 'P 4/m b m'
_symmetry_Int_Tables_number 127
_symmetry_space_group_name_Hall '-P 4 2ab'
loop_
_atom_site_label
_atom_site_fract_x
_atom_site_fract_y
_atom_site_fract_z
Er1 0.173 0.327 0.000
Ti1 0.134 0.634 0.000
Al1 0.000 0.000 0.000
Rh1 0.000 0.500 0.500
Rh2 0.050 0.804 0.500
# Total DFT energy (no corrections) ... -144.93 eV per cell
# Formation energy ... -0.705 eV/atom